[1]
Here is a relaxed Re3AgH crystal from Alexandria via LeMat-Bulk. Energies are from PBE.

abc: 3.9878 3.9878 3.9878
angles: 90.00 90.00 90.00
Last column: nearest neighbours and their distance in Å.
Space group Pm-3m (No. 221)
Unique sites:
Re  0.0000  0.0000  0.5000 x3  2 H 1.99
Ag  0.5000  0.5000  0.5000 x1  12 Re 2.82
H  0.0000  0.0000  0.0000 x1  6 Re 1.99

Output
ρ: 17.5 Mg/m³
E: -0.5965 Ry/atom
Total magnetic moment: 0.000 μB/atom

[2]
Here is a relaxed ReAgH crystal from Alexandria via LeMat-Bulk. Energies are from PBE.

abc: 2.9407 2.9483 8.6005
angles: 90.01 90.42 90.15
Last column: nearest neighbours and their distance in Å.
Space group P1 (No. 1)
Unique sites:
Re  0.0000  0.0000  0.0000 x1  2 H 1.86
Re  0.4958  0.4999  0.8213 x1  2 H 1.86
Ag  0.4839  0.5025  0.2902 x1  2 H 2.01
Ag  0.9897  0.0028  0.5312 x1  2 H 2.00-2.01
H  0.4934  0.0001  0.6898 x1  2 Re 1.86, 2 Ag 2.00-2.01
H  0.5032  0.0016  0.1320 x1  2 Re 1.86, 2 Ag 2.01

Output
ρ: 13.1 Mg/m³
E: -0.4407 Ry/atom
Total magnetic moment: 0.000 μB/atom

[3]
Here is a relaxed Re2AgSnH crystal from Alexandria via LeMat-Bulk. Energies are from PBE.

abc: 5.1732 5.1732 3.0333
angles: 90.00 90.00 90.00
Last column: nearest neighbours and their distance in Å.
Space group P4/mmm (No. 123)
Unique sites:
Re  0.0000  0.5000  0.0000 x2  2 Ag 2.59
Ag  0.0000  0.0000  0.0000 x1  2 H 1.52
Sn  0.5000  0.5000  0.5000 x1  8 Re 3.00, 2 Sn 3.03
H  0.0000  0.0000  0.5000 x1  2 Ag 1.52

Output
ρ: 12.3 Mg/m³
E: -0.3967 Ry/atom
Total magnetic moment: 0.276 μB/atom

[4]
Here is a relaxed Sr2ReAgH crystal from Alexandria via LeMat-Bulk. Energies are from PBE.

abc: 5.4255 5.4255 3.7423
angles: 90.00 90.00 90.00
Last column: nearest neighbours and their distance in Å.
Space group P4/mmm (No. 123)
Unique sites:
Sr  0.0000  0.5000  0.0000 x2  2 H 2.71
Re  0.0000  0.0000  0.5000 x1  8 Sr 3.30
Ag  0.5000  0.5000  0.5000 x1  2 H 1.87
H  0.5000  0.5000  0.0000 x1  2 Ag 1.87

Output
ρ: 7.1 Mg/m³
E: -0.2806 Ry/atom
Total magnetic moment: 0.406 μB/atom

[5]
Here is a relaxed SrReAg2H crystal from Alexandria via LeMat-Bulk. Energies are from PBE.

abc: 5.1320 5.1320 5.9305
angles: 90.00 90.00 90.00
Last column: nearest neighbours and their distance in Å.
Space group P4/mmm (No. 123)
Unique sites:
Sr  0.0000  0.0000  0.0000 x1  2 Re 2.97
Re  0.0000  0.0000  0.5000 x1  4 Ag 2.57
Ag  0.0000  0.5000  0.5000 x2  2 Re 2.57
H  0.5000  0.5000  0.0000 x1  4 Sr 3.63, 8 Ag 3.92

Output
ρ: 5.2 Mg/m³
E: -0.2322 Ry/atom
Total magnetic moment: 0.586 μB/atom

[6]
Here is a relaxed AgH4Rh2 crystal from Alexandria via LeMat-Bulk. Energies are from PBE.

abc: 7.9501 7.9639 5.6376
angles: 90.00 134.72 90.00
Last column: nearest neighbours and their distance in Å.
Space group C2/c (No. 15)
Unique sites:
Ag  0.0000  0.1244  0.2500 x4  4 H 2.02
H  0.0022  0.2708  0.5455 x8  3 Rh 1.84, 1 Ag 2.02
H  0.2070  0.4789  0.9544 x8  3 Rh 1.83-1.84, 1 Ag 2.02
Rh  0.0000  0.5000  0.0000 x4  6 H 1.83-1.84
Rh  0.2500  0.2500  0.0000 x4  6 H 1.84

Output
ρ: 8.3 Mg/m³
E: -0.3230 Ry/atom
Total magnetic moment: 0.000 μB/atom

[7]
Here is a relaxed AgH7Rh2 crystal from Alexandria via LeMat-Bulk. Energies are from PBE.

abc: 5.7346 8.2425 3.3194
angles: 90.00 90.00 90.00
Last column: nearest neighbours and their distance in Å.
Space group Cmmm (No. 65)
Unique sites:
Ag  0.0000  0.0000  0.0000 x2  8 H 2.35
H  0.0000  0.3355  0.0000 x4  2 Rh 1.70
H  0.0000  0.5000  0.5000 x2  2 Rh 1.73
H  0.2154  0.1355  0.5000 x8  2 Rh 1.74-1.77, 1 H 1.93
Rh  0.0000  0.2900  0.5000 x4  7 H 1.70-1.77

Output
ρ: 6.8 Mg/m³
E: -0.2964 Ry/atom
Total magnetic moment: 0.000 μB/atom

[8]
Here is a relaxed Ag3H12Rh5 crystal from Alexandria via LeMat-Bulk. Energies are from PBE.

abc: 11.1282 11.1282 11.1282
angles: 90.00 90.00 90.00
Last column: nearest neighbours and their distance in Å.
Space group Ia-3d (No. 230)
Unique sites:
Ag  0.0000  0.2500  0.1250 x24  8 H 2.14-2.28
H  0.0371  0.0623  0.6409 x96  2 Rh 1.71-1.76
Rh  0.0000  0.0000  0.0000 x16  6 H 1.76
Rh  0.0000  0.2500  0.3750 x24  4 H 1.71

Output
ρ: 8.2 Mg/m³
E: -0.3049 Ry/atom
Total magnetic moment: 0.000 μB/atom

[9]
Here is a relaxed AgH3Rh crystal from Alexandria via LeMat-Bulk. Energies are from PBE.

abc: 3.0141 5.3653 5.5579
angles: 81.51 75.00 74.41
Last column: nearest neighbours and their distance in Å.
Space group P-1 (No. 2)
Unique sites:
Ag  0.2182  0.2061  0.3557 x2  1 H 1.99
H  0.0422  0.1692  0.7275 x2  2 Rh 1.77-1.81, 1 H 1.95
H  0.1960  0.6354  0.9766 x2  3 Rh 1.85-1.90, 3 H 1.95-2.06
H  0.5000  0.0000  0.0000 x1  2 Rh 1.83
H  0.5000  0.5000  0.5000 x1  2 Rh 1.90
Rh  0.4312  0.3187  0.8239 x2  7 H 1.77-1.90

Output
ρ: 8.5 Mg/m³
E: -0.2937 Ry/atom
Total magnetic moment: 0.000 μB/atom

[10]
Here is a relaxed AgH3Rh crystal from Alexandria via LeMat-Bulk. Energies are from PBE.

abc: 6.1184 4.6633 7.2621
angles: 90.00 126.11 90.00
Last column: nearest neighbours and their distance in Å.
Space group P2_1/c (No. 14)
Unique sites:
Ag  0.2155  0.2494  0.1078 x4  3 H 2.05-2.29
H  0.0309  0.0190  0.7651 x4  2 Rh 1.79-1.81
H  0.2958  0.7498  0.1475 x4  2 Rh 1.82
H  0.3828  0.1414  0.4415 x4  2 Rh 1.75-1.83, 1 H 1.76
Rh  0.2742  0.7347  0.8872 x4  6 H 1.75-1.83

Output
ρ: 8.5 Mg/m³
E: -0.2904 Ry/atom
Total magnetic moment: 0.000 μB/atom

[11]
Here is a relaxed Ag2H2Rh crystal from Alexandria via LeMat-Bulk. Energies are from PBE.

abc: 5.3546 5.3546 4.1630
angles: 90.00 90.00 90.00
Last column: nearest neighbours and their distance in Å.
Space group P4/mbm (No. 127)
Unique sites:
Ag  0.1897  0.3103  0.0000 x4  2 H 2.11
H  0.2341  0.2659  0.5000 x4  2 Rh 1.90, 2 Ag 2.11
Rh  0.0000  0.0000  0.5000 x2  4 H 1.90

Output
ρ: 8.9 Mg/m³
E: -0.2798 Ry/atom
Total magnetic moment: 0.000 μB/atom

[12]
Here is a relaxed AgH12Rh4 crystal from Alexandria via LeMat-Bulk. Energies are from PBE.

abc: 6.4424 6.4424 6.4424
angles: 90.00 90.00 90.00
Last column: nearest neighbours and their distance in Å.
Space group Im-3 (No. 204)
Unique sites:
Ag  0.0000  0.0000  0.0000 x2  12 H 2.50, 8 Rh 2.79
H  0.0000  0.3305  0.2040 x24  2 Rh 1.72
Rh  0.2500  0.2500  0.2500 x8  6 H 1.72

Output
ρ: 6.6 Mg/m³
E: -0.3045 Ry/atom
Total magnetic moment: 0.000 μB/atom